DFT (PBE with a Hubbard U) results for crystalline LaFeI2F at its relaxed geometry.

Unit cell a=6.4048 b=6.4048 c=4.6269 alpha=90.00 beta=90.00 gamma=90.00
Space group P4/mmm (No. 123)
One atom of each set of equivalent atoms:
1 La 0.0000 0.0000 0.0000 [1 per cell]
2 Fe 0.5000 0.5000 0.5000 [1 per cell]
3 I 0.0000 0.5000 0.0000 [2 per cell]
4 F 0.0000 0.0000 0.5000 [1 per cell]

The value obtained for the volume is 190 Å³/cell. The value obtained for the total energy is -21.58 eV/cell. Its magnetic moment is 4.00 μB/cell.